A relaxed Li2Mn2SbO6 crystal. Source: the Alexandria database, functional GGA+U.

The structure in CIF format:
```
data_Li2Mn2SbO6
_cell_length_a 5.547
_cell_length_b 9.157
_cell_length_c 10.296
_cell_angle_alpha 90.00
_cell_angle_beta 90.00
_cell_angle_gamma 90.00
_space_group_name_H-M_alt 'C 2 2 21'
_space_group_IT_number 20
_space_group_name_Hall 'C 2c 2'
loop_
_atom_site_label
_atom_site_type_symbol
_atom_site_fract_x
_atom_site_fract_y
_atom_site_fract_z
Li1 Li 0.146 0.000 0.000
Li2 Li 0.150 0.500 0.000
Mn1 Mn 0.000 0.099 0.750
Mn2 Mn 0.000 0.429 0.750
Sb1 Sb 0.000 0.234 0.250
O1 O 0.124 0.411 0.359
O2 O 0.132 0.077 0.367
O3 O 0.181 0.276 0.657
```

Output
Total DFT energy (no corrections) = -6.4555 eV per atom
Magnetic moment = 0.82 μB/atom